Record 1
## CeNdAsS (GGA-PBE)

Data for CeNdAsS after structural relaxation.

```
data_CeNdAsS
_chemical_formula_sum 'Ce3 Nd3 As3 S3'
_symmetry_space_group_name_H-M 'R 3 m'
_symmetry_Int_Tables_number 160
_symmetry_space_group_name_Hall 'R 3 -2"'
_cell_length_a 4.1587
_cell_length_b 4.1587
_cell_length_c 20.3067
_cell_angle_alpha 90.00
_cell_angle_beta 90.00
_cell_angle_gamma 120.00
loop_
_atom_site_label
_atom_site_fract_x
_atom_site_fract_y
_atom_site_fract_z
_atom_site_occupancy
Ce1 0.0000 0.0000 0.0000 1
Nd1 0.0000 0.0000 0.4964 1
As1 0.0000 0.0000 0.2497 1
S1 0.0000 0.0000 0.7471 1
```

Output
**Magnetization**: 0.197 μB/atom
**Energy relative to the elements, uncorrected**: -1.765 eV per atom


Record 2
## Ce2NdScAs4 (GGA-PBE)

Data for Ce2NdScAs4 after structural relaxation.

```
data_Ce2NdScAs4
_chemical_formula_sum 'Ce2 Nd1 Sc1 As4'
_symmetry_space_group_name_H-M 'P 1 2/m 1'
_symmetry_Int_Tables_number 10
_cell_length_a 7.1768
_cell_length_b 4.1612
_cell_length_c 7.2005
_cell_angle_alpha 90.00
_cell_angle_beta 109.53
_cell_angle_gamma 90.00
loop_
_symmetry_equiv_pos_as_xyz
'x,y,z'
'-x,-y,-z'
'-x,y,-z'
'x,-y,z'
loop_
_atom_site_label
_atom_site_fract_x
_atom_site_fract_y
_atom_site_fract_z
_atom_site_occupancy
Ce1 0.0000 0.0000 0.0000 1
Ce2 0.0000 0.5000 0.5000 1
Nd1 0.5000 0.0000 0.5000 1
Sc1 0.5000 0.5000 0.0000 1
As1 0.2522 0.5000 0.2391 1
As2 0.2605 0.0000 0.7648 1
```

Output
**Calculated formation energy**: -1.40 eV per atom
**Magnetization**: 0.151 μB/atom


Record 3
## Ce3NdSc2As6 (GGA-PBE)

Data for Ce3NdSc2As6 after structural relaxation.

```
data_Ce3NdSc2As6
_chemical_formula_sum 'Ce6 Nd2 Sc4 As12'
_symmetry_space_group_name_H-M 'C 1 2/m 1'
_symmetry_Int_Tables_number 12
_cell_length_a 7.1483
_cell_length_b 12.3837
_cell_length_c 7.1146
_cell_angle_alpha 90.00
_cell_angle_beta 109.67
_cell_angle_gamma 90.00
loop_
_symmetry_equiv_pos_as_xyz
'x,y,z'
'-x,-y,-z'
'-x,y,-z'
'x,-y,z'
'x+1/2,y+1/2,z'
'-x+1/2,-y+1/2,-z'
'-x+1/2,y+1/2,-z'
'x+1/2,-y+1/2,z'
loop_
_atom_site_label
_atom_site_fract_x
_atom_site_fract_y
_atom_site_fract_z
_atom_site_occupancy
Ce1 0.0000 0.0000 0.0000 1
Ce2 0.0000 0.3369 0.0000 1
Nd1 0.0000 0.5000 0.5000 1
Sc1 0.0000 0.1679 0.5000 1
As1 0.2317 0.0000 0.7363 1
As2 0.2464 0.1733 0.2593 1
```

Output
**Calculated formation energy**: -1.39 eV per atom
**Magnetization**: 0.150 μB/atom


Record 4
## CeNd2ScAs4 (GGA-PBE)

Data for CeNd2ScAs4 after structural relaxation.

```
data_CeNd2ScAs4
_chemical_formula_sum 'Ce1 Nd2 Sc1 As4'
_symmetry_space_group_name_H-M 'P 1 2/m 1'
_symmetry_Int_Tables_number 10
_cell_length_a 7.1864
_cell_length_b 4.1703
_cell_length_c 7.2215
_cell_angle_alpha 90.00
_cell_angle_beta 109.41
_cell_angle_gamma 90.00
loop_
_symmetry_equiv_pos_as_xyz
'x,y,z'
'-x,-y,-z'
'-x,y,-z'
'x,-y,z'
loop_
_atom_site_label
_atom_site_fract_x
_atom_site_fract_y
_atom_site_fract_z
_atom_site_occupancy
Ce1 0.0000 0.0000 0.0000 1
Nd1 0.0000 0.5000 0.5000 1
Nd2 0.5000 0.0000 0.5000 1
Sc1 0.5000 0.5000 0.0000 1
As1 0.2535 0.5000 0.2373 1
As2 0.2631 0.0000 0.7686 1
```

Output
**Calculated formation energy**: -1.43 eV per atom
**Magnetization**: 0.055 μB/atom


Record 5
## Ce2Nd3ScAs6 (GGA-PBE)

Data for Ce2Nd3ScAs6 after structural relaxation.

```
data_Ce2Nd3ScAs6
_chemical_formula_sum 'Ce4 Nd6 Sc2 As12'
_symmetry_space_group_name_H-M 'C 1 2/m 1'
_symmetry_Int_Tables_number 12
_cell_length_a 18.2623
_cell_length_b 4.1968
_cell_length_c 8.3862
_cell_angle_alpha 90.00
_cell_angle_beta 103.46
_cell_angle_gamma 90.00
loop_
_symmetry_equiv_pos_as_xyz
'x,y,z'
'-x,-y,-z'
'-x,y,-z'
'x,-y,z'
'x+1/2,y+1/2,z'
'-x+1/2,-y+1/2,-z'
'-x+1/2,y+1/2,-z'
'x+1/2,-y+1/2,z'
loop_
_atom_site_label
_atom_site_fract_x
_atom_site_fract_y
_atom_site_fract_z
_atom_site_occupancy
Ce1 0.1643 0.0000 0.3299 1
Nd1 0.0000 0.5000 0.5000 1
Nd2 0.1671 0.0000 0.8352 1
Sc1 0.0000 0.5000 0.0000 1
As1 0.0005 0.0000 0.2346 1
As2 0.1604 0.5000 0.0843 1
As3 0.1686 0.5000 0.5798 1
```

Output
**Calculated formation energy**: -1.44 eV per atom
**Magnetization**: 0.092 μB/atom


Record 6
## Ce2NdSc3As6 (GGA-PBE)

Data for Ce2NdSc3As6 after structural relaxation.

```
data_Ce2NdSc3As6
_chemical_formula_sum 'Ce4 Nd2 Sc6 As12'
_symmetry_space_group_name_H-M 'C 1 2/m 1'
_symmetry_Int_Tables_number 12
_cell_length_a 7.0561
_cell_length_b 12.2191
_cell_length_c 6.9840
_cell_angle_alpha 90.00
_cell_angle_beta 109.67
_cell_angle_gamma 90.00
loop_
_symmetry_equiv_pos_as_xyz
'x,y,z'
'-x,-y,-z'
'-x,y,-z'
'x,-y,z'
'x+1/2,y+1/2,z'
'-x+1/2,-y+1/2,-z'
'-x+1/2,y+1/2,-z'
'x+1/2,-y+1/2,z'
loop_
_atom_site_label
_atom_site_fract_x
_atom_site_fract_y
_atom_site_fract_z
_atom_site_occupancy
Ce1 0.0000 0.1669 0.0000 1
Nd1 0.0000 0.5000 0.0000 1
Sc1 0.0000 0.0000 0.5000 1
Sc2 0.0000 0.3345 0.5000 1
As1 0.2411 0.1687 0.7296 1
As2 0.2468 0.5000 0.7286 1
```

Output
**Calculated formation energy**: -1.40 eV per atom
**Magnetization**: 0.087 μB/atom


Record 7
## CeNd3Sm2As6 (GGA-PBE)

Data for CeNd3Sm2As6 after structural relaxation.

```
data_CeNd3Sm2As6
_chemical_formula_sum 'Ce2 Nd6 Sm4 As12'
_symmetry_space_group_name_H-M 'C 1 2/m 1'
_symmetry_Int_Tables_number 12
_cell_length_a 7.3454
_cell_length_b 12.7217
_cell_length_c 7.3509
_cell_angle_alpha 90.00
_cell_angle_beta 109.44
_cell_angle_gamma 90.00
loop_
_symmetry_equiv_pos_as_xyz
'x,y,z'
'-x,-y,-z'
'-x,y,-z'
'x,-y,z'
'x+1/2,y+1/2,z'
'-x+1/2,-y+1/2,-z'
'-x+1/2,y+1/2,-z'
'x+1/2,-y+1/2,z'
loop_
_atom_site_label
_atom_site_fract_x
_atom_site_fract_y
_atom_site_fract_z
_atom_site_occupancy
Ce1 0.0000 0.0000 0.0000 1
Nd1 0.0000 0.1672 0.5000 1
Nd2 0.0000 0.5000 0.5000 1
Sm1 0.0000 0.3336 0.0000 1
As1 0.2470 0.1653 0.2452 1
As2 0.2488 0.0000 0.7552 1
```

Output
**Calculated formation energy**: -1.51 eV per atom
**Magnetization**: 0.040 μB/atom


Record 8
## CeNdSm2As4 (GGA-PBE)

Data for CeNdSm2As4 after structural relaxation.

```
data_CeNdSm2As4
_chemical_formula_sum 'Ce1 Nd1 Sm2 As4'
_symmetry_space_group_name_H-M 'P 1 2/m 1'
_symmetry_Int_Tables_number 10
_cell_length_a 7.3205
_cell_length_b 4.2293
_cell_length_c 7.3248
_cell_angle_alpha 90.00
_cell_angle_beta 109.42
_cell_angle_gamma 90.00
loop_
_symmetry_equiv_pos_as_xyz
'x,y,z'
'-x,-y,-z'
'-x,y,-z'
'x,-y,z'
loop_
_atom_site_label
_atom_site_fract_x
_atom_site_fract_y
_atom_site_fract_z
_atom_site_occupancy
Ce1 0.0000 0.0000 0.0000 1
Nd1 0.0000 0.5000 0.5000 1
Sm1 0.5000 0.0000 0.5000 1
Sm2 0.5000 0.5000 0.0000 1
As1 0.2494 0.5000 0.2470 1
As2 0.2508 0.0000 0.7539 1
```

Output
**Calculated formation energy**: -1.50 eV per atom
**Magnetization**: 0.071 μB/atom


Calculated total energy / eV/f.u.: -26.54, -52.80, -79.85, -51.83, -77.70, -80.30, -75.71, -50.77